Model one:
DFT (PBE-GGA) results for V3Cr2Re2 after structural relaxation.

The space group is Cmmm (No. 65) and the conventional cell measures 3.041, 20.910 and 2.992 Å, with angles of 90.00, 90.00 and 90.00 degrees. The asymmetric unit holds V at (0.000, 0.000, 0.000), V at (0.000, 0.147, 0.000), Cr at (0.000, 0.288, 0.500) and Re at (0.000, 0.427, 0.500).

As for the density of states at the Fermi level: 7.06 states/eV/cell. The volume comes out at 190.23 Å³/cell. The total magnetic moment comes out at 0.00 μB/cell.


Model two:
DFT (PBE-GGA) results for V3Cr2Re2 after structural relaxation.

The space group is P-1 (No. 2) and the conventional cell measures 2.981, 4.965 and 6.656 Å, with angles of 82.70, 89.98 and 72.71 degrees. The asymmetric unit holds V at (0.000, 0.000, 0.000), V at (0.285, 0.430, 0.858), Cr at (0.425, 0.150, 0.279) and Re at (0.138, 0.724, 0.427).

As for the density of states at the Fermi level: 3.93 states/eV/cell. The volume comes out at 93.23 Å³/cell. The total magnetic moment comes out at 0.00 μB/cell.


Q: What are the energies relative to the best structure? A: model one 132; model two 0, in meV/atom.


Model one:
DFT (PBE-GGA) results for VCr6Re2 after structural relaxation.

The space group is Immm (No. 71) and the conventional cell measures 2.440, 7.709 and 12.646 Å, with angles of 90.00, 90.00 and 90.00 degrees. The asymmetric unit holds V at (0.000, 0.000, 0.000), Cr at (0.000, 0.177, 0.165), Cr at (0.000, 0.181, 0.500) and Re at (0.000, 0.000, 0.333).

As for the density of states at the Fermi level: 22.15 states/eV/cell. The volume comes out at 237.87 Å³/cell. The total magnetic moment comes out at 0.00 μB/cell.


Model two:
DFT (PBE-GGA) results for VCr6Re2 after structural relaxation.

The space group is C2/m (No. 12) and the conventional cell measures 8.267, 4.864 and 5.901 Å, with angles of 90.00, 104.03 and 90.00 degrees. The asymmetric unit holds V at (0.000, 0.000, 0.000), Cr at (0.036, 0.256, 0.689), Cr at (0.235, 0.000, 0.407) and Re at (0.187, 0.500, 0.097).

As for the density of states at the Fermi level: 20.67 states/eV/cell. The volume comes out at 230.20 Å³/cell. The total magnetic moment comes out at 0.00 μB/cell.


Q: What are the energies relative to the best structure? A: model one 186; model two 0, in meV/atom.


Model one:
DFT (PBE-GGA) results for VCr2Re2 after structural relaxation.

The space group is C2/m (No. 12) and the conventional cell measures 8.986, 4.181 and 8.308 Å, with angles of 90.00, 117.93 and 90.00 degrees. The asymmetric unit holds V at (0.135, 0.000, 0.124), Cr at (0.057, 0.000, 0.723), Cr at (0.127, 0.500, 0.611), Re at (0.116, 0.500, 0.939) and Re at (0.195, 0.500, 0.358).

As for the density of states at the Fermi level: 16.84 states/eV/cell. The volume comes out at 275.85 Å³/cell. The total magnetic moment comes out at 0.00 μB/cell.


Model two:
DFT (PBE-GGA) results for VCr2Re2 after structural relaxation.

The space group is C2/m (No. 12) and the conventional cell measures 8.993, 4.202 and 7.371 Å, with angles of 90.00, 106.23 and 90.00 degrees. The asymmetric unit holds V at (0.250, 0.000, 0.245), Cr at (0.043, 0.500, 0.347), Cr at (0.150, 0.500, 0.052), Re at (0.051, 0.000, 0.851) and Re at (0.154, 0.000, 0.548).

As for the density of states at the Fermi level: 14.56 states/eV/cell. The volume comes out at 267.42 Å³/cell. The total magnetic moment comes out at 0.00 μB/cell.


Q: What are the energies relative to the best structure? A: model one 325; model two 0, in meV/atom.


Model one:
DFT (PBE-GGA) results for V6CrRe after structural relaxation.

The space group is R-3m (No. 166, hexagonal axes) and the conventional cell measures 8.7245, 8.7245 and 4.9788 Å, with angles of 90.00, 90.00 and 120.00 degrees. The asymmetric unit holds V at (0.0041, 0.5021, 0.2510), Cr at (0.0000, 0.0000, 0.5000) and Re at (0.0000, 0.0000, 0.0000).

As for the density of states at the Fermi level: 28.62 states/eV/cell. The volume comes out at 328.19 Å³/cell. The total magnetic moment comes out at 0.00 μB/cell.


Model two:
DFT (PBE-GGA) results for V6CrRe after structural relaxation.

The space group is Cmmm (No. 65) and the conventional cell measures 5.983, 8.486 and 4.203 Å, with angles of 90.00, 90.00 and 90.00 degrees. The asymmetric unit holds V at (0.000, 0.248, 0.000), V at (0.245, 0.000, 0.000), V at (0.250, 0.250, 0.500), Cr at (0.000, 0.000, 0.500) and Re at (0.000, 0.500, 0.500).

As for the density of states at the Fermi level: 25.16 states/eV/cell. The volume comes out at 213.39 Å³/cell. The total magnetic moment comes out at 0.00 μB/cell.


Q: What are the energies relative to the best structure? A: model one 231; model two 0, in meV/atom.


Model one:
DFT (PBE-GGA) results for CrReW after structural relaxation.

The space group is F-43m (No. 216) and the conventional cell measures 5.809, 5.809 and 5.809 Å, with angles of 90.00, 90.00 and 90.00 degrees. The asymmetric unit holds Cr at (0.000, 0.000, 0.000), Re at (0.250, 0.250, 0.250) and W at (0.250, 0.250, 0.750).

As for the density of states at the Fermi level: 12.40 states/eV/cell. The volume comes out at 196.07 Å³/cell. The total magnetic moment comes out at 0.00 μB/cell.


Model two:
DFT (PBE-GGA) results for CrReW after structural relaxation.

The space group is P3m1 (No. 156) and the conventional cell measures 4.3165, 4.3165 and 2.6868 Å, with angles of 90.00, 90.00 and 120.00 degrees. The asymmetric unit holds Cr at (0.0000, 0.0000, 0.0000), Re at (0.6667, 0.3333, 0.3449) and W at (0.3333, 0.6667, 0.6850).

As for the density of states at the Fermi level: 2.63 states/eV/cell. The volume comes out at 43.35 Å³/cell. The total magnetic moment comes out at 0.00 μB/cell.


Model three:
DFT (PBE-GGA) results for CrReW after structural relaxation.

The space group is Fmm2 (No. 42) and the conventional cell measures 3.092, 4.399 and 12.773 Å, with angles of 90.00, 90.00 and 90.00 degrees. The asymmetric unit holds Cr at (0.000, 0.000, 0.000), Re at (0.000, 0.000, 0.659) and W at (0.000, 0.000, 0.336).

As for the density of states at the Fermi level: 9.27 states/eV/cell. The volume comes out at 173.71 Å³/cell. The total magnetic moment comes out at 0.00 μB/cell.


Model four:
DFT (PBE-GGA) results for CrReW after structural relaxation.

The space group is P3m1 (No. 156) and the conventional cell measures 2.7902, 2.7902 and 6.5333 Å, with angles of 90.00, 90.00 and 120.00 degrees. The asymmetric unit holds Cr at (0.0000, 0.0000, 0.0000), Re at (0.3333, 0.6667, 0.3088) and W at (0.6667, 0.3333, 0.6647).

As for the density of states at the Fermi level: 4.21 states/eV/cell. The volume comes out at 44.05 Å³/cell. The total magnetic moment comes out at 0.01 μB/cell.


Q: What are the energies relative to the best structure? A: model one 652; model two 0; model three 49; model four 246, in meV/atom.


Model one:
DFT (PBE-GGA) results for CrReW after structural relaxation.

The space group is Cm (No. 8) and the conventional cell measures 9.201, 4.316 and 5.314 Å, with angles of 90.00, 124.91 and 90.00 degrees. The asymmetric unit holds Cr at (0.000, 0.000, 0.000), Cr at (0.160, 0.500, 0.497), Re at (0.172, 0.500, 0.013), Re at (0.328, 0.000, 0.502), W at (0.004, 0.000, 0.513) and W at (0.342, 0.000, 0.008).

As for the density of states at the Fermi level: 10.79 states/eV/cell. The volume comes out at 173.04 Å³/cell. The total magnetic moment comes out at 0.00 μB/cell.


Model two:
DFT (PBE-GGA) results for CrReW after structural relaxation.

The space group is I4mm (No. 107) and the conventional cell measures 3.067, 3.067 and 9.161 Å, with angles of 90.00, 90.00 and 90.00 degrees. The asymmetric unit holds Cr at (0.000, 0.000, 0.000), Re at (0.000, 0.000, 0.334) and W at (0.000, 0.000, 0.660).

As for the density of states at the Fermi level: 5.86 states/eV/cell. The volume comes out at 86.19 Å³/cell. The total magnetic moment comes out at 0.00 μB/cell.


Q: What are the energies relative to the best structure? A: model one 14; model two 0, in meV/atom.


Model one:
DFT (PBE-GGA) results for CrReW3 after structural relaxation.

The space group is Pm-3m (No. 221) and the conventional cell measures 4.754, 4.754 and 4.754 Å, with angles of 90.00, 90.00 and 90.00 degrees. The asymmetric unit holds Cr at (0.000, 0.000, 0.000), Re at (0.500, 0.500, 0.500) and W at (0.000, 0.500, 0.500).

As for the density of states at the Fermi level: 6.70 states/eV/cell. The volume comes out at 107.42 Å³/cell. The total magnetic moment comes out at 3.21 μB/cell.


Model two:
DFT (PBE-GGA) results for CrReW3 after structural relaxation.

The space group is Pm-3m (No. 221) and the conventional cell measures 4.423, 4.423 and 4.423 Å, with angles of 90.00, 90.00 and 90.00 degrees. The asymmetric unit holds Cr at (0.000, 0.000, 0.000), Re at (0.500, 0.500, 0.500) and W at (0.000, 0.000, 0.500).

As for the density of states at the Fermi level: 5.77 states/eV/cell. The volume comes out at 86.52 Å³/cell. The total magnetic moment comes out at 0.00 μB/cell.


Model three:
DFT (PBE-GGA) results for CrReW3 after structural relaxation.

The space group is Pnma (No. 62) and the conventional cell measures 2.716, 4.307 and 27.714 Å, with angles of 90.00, 90.00 and 90.00 degrees. The asymmetric unit holds Cr at (0.201, 0.250, 0.163), Re at (0.186, 0.750, 0.023), W at (0.029, 0.250, 0.429), W at (0.038, 0.750, 0.294) and W at (0.130, 0.250, 0.882).

As for the density of states at the Fermi level: 17.51 states/eV/cell. The volume comes out at 324.26 Å³/cell. The total magnetic moment comes out at 0.00 μB/cell.


Q: What are the energies relative to the best structure? A: model one 1731; model two 1244; model three 0, in meV/atom.


Model one:
DFT (PBE-GGA) results for YCr2Re after structural relaxation.

The space group is Fm-3m (No. 225) and the conventional cell measures 6.290, 6.290 and 6.290 Å, with angles of 90.00, 90.00 and 90.00 degrees. The asymmetric unit holds Y at (0.000, 0.000, 0.000), Cr at (0.250, 0.250, 0.250) and Re at (0.000, 0.000, 0.500).

As for the density of states at the Fermi level: 26.30 states/eV/cell. The volume comes out at 248.83 Å³/cell. The total magnetic moment comes out at 0.00 μB/cell.


Model two:
DFT (PBE-GGA) results for YCr2Re after structural relaxation.

The space group is C2/m (No. 12) and the conventional cell measures 9.186, 3.152 and 5.219 Å, with angles of 90.00, 107.90 and 90.00 degrees. The asymmetric unit holds Y at (0.000, 0.000, 0.000), Cr at (0.217, 0.000, 0.630) and Re at (0.000, 0.500, 0.500).

As for the density of states at the Fermi level: 4.99 states/eV/cell. The volume comes out at 143.80 Å³/cell. The total magnetic moment comes out at 0.00 μB/cell.


Q: What are the energies relative to the best structure? A: model one 31; model two 0, in meV/atom.